Record 1
VASP calculation (PBE) on an optimized crystal structure of InCo3Hg.

```
5
Lattice="4.7220 0.0000 0.0000 0.0000 4.7220 0.0000 0.0000 0.0000 4.7220" Properties=species:S:1:pos:R:3 pbc="T T T"
In 0.0000 0.0000 0.0000
Co 0.0000 0.0000 2.3610
Co 0.0000 2.3610 0.0000
Co 2.3610 0.0000 0.0000
Hg 2.3610 2.3610 2.3610
```

Total DFT energy (no corrections) = -3.420 eV/atom
Energy of formation = 1.451 eV/atom



Record 2
VASP calculation (PBE) on an optimized crystal structure of SbRuS.

```
12
Lattice="6.2678 0.0000 0.0000 0.0000 5.2951 0.0000 -0.4037 0.0000 6.9784" Properties=species:S:1:pos:R:3 pbc="T T T"
Sb 0.3727 1.1979 0.7377
Sb 0.1708 1.4497 4.2269
Sb 5.6933 3.8455 2.7515
Sb 5.4915 4.0972 6.2407
Ru 1.5758 2.7187 6.1583
Ru 1.7777 5.2240 2.6691
Ru 4.0865 0.0711 4.3093
Ru 4.2883 2.5764 0.8201
S 2.4942 3.7022 4.2439
S 2.6960 4.2405 0.7547
S 3.1681 1.0546 6.2237
S 3.3700 1.5930 2.7345
```

Total DFT energy (no corrections) = -6.173 eV/atom
Formation energy from raw total energies = -330.8 meV per atom



Record 3
VASP calculation (PBE) on an optimized crystal structure of DyErIn.

```
3
Lattice="-1.7619 2.2643 5.1754 1.7619 -2.2643 5.1754 1.7619 2.2643 -5.1754" Properties=species:S:1:pos:R:3 pbc="T T T"
Dy 0.0000 0.0000 0.0000
Er 0.0000 0.0000 7.1181
In 0.0000 0.0000 3.5389
```

Total DFT energy (no corrections) = -4.220 eV/atom
Energy of formation = -0.253 eV/atom



Record 4
VASP calculation (PBE) on an optimized crystal structure of Dy3TlTe3.

```
14
Lattice="9.3161 0.0000 0.0000 -4.6580 8.0680 0.0000 0.0000 0.0000 5.8123" Properties=species:S:1:pos:R:3 pbc="T T T"
Dy -0.8768 2.1412 1.4531
Dy -2.3653 7.7567 1.4531
Dy 1.4160 1.8299 4.3592
Dy 3.2421 6.2380 1.4531
Dy 7.0233 0.3113 4.3592
Dy 5.5349 5.9268 4.3592
Tl 0.0000 5.3787 1.4531
Tl 4.6581 2.6893 4.3592
Te -1.2841 3.2389 4.3592
Te -1.2110 7.5606 4.3592
Te 2.1629 2.7315 1.4531
Te 2.4951 5.3364 4.3592
Te 5.8690 0.5074 1.4531
Te 5.9422 4.8291 1.4531
```

Total DFT energy (no corrections) = -4.501 eV/atom
Formation energy from raw total energies = -844.2 meV per atom



Record 5
VASP calculation (PBE) on an optimized crystal structure of FeWSe.

```
3
Lattice="-1.5216 1.5216 4.6732 1.5216 -1.5216 4.6732 1.5216 1.5216 -4.6732" Properties=species:S:1:pos:R:3 pbc="T T T"
Fe 0.0000 0.0000 0.0000
W 0.0000 0.0000 3.0966
Se 0.0000 0.0000 6.1603
```

Total DFT energy (no corrections) = -7.953 eV/atom
Formation energy from raw total energies = 346.9 meV per atom



Record 6
VASP calculation (PBE) on an optimized crystal structure of TlIn5Hg2Pb.

```
18
Lattice="-3.7660 3.7660 9.3119 3.7660 -3.7660 9.3119 3.7660 3.7660 -9.3119" Properties=species:S:1:pos:R:3 pbc="T T T"
Tl 0.0000 0.0000 4.6560
Tl 0.0000 0.0000 13.9679
In 0.0000 0.0000 0.0000
In 5.4221 1.6561 -2.5075
In 1.6561 2.1099 -2.5075
In 5.4221 1.6561 2.5075
In 1.6561 2.1099 2.5075
In 0.0000 0.0000 9.3119
In 2.1099 1.6561 6.8044
In -1.6561 2.1099 6.8044
In 2.1099 1.6561 11.8194
In -1.6561 2.1099 11.8194
Hg 2.7802 0.9858 0.0000
Hg 2.7802 -0.9858 9.3119
Hg 0.9858 4.7518 0.0000
Hg 0.9858 2.7802 9.3119
Pb 3.7660 0.0000 4.6560
Pb 0.0000 3.7660 4.6560
```

Total DFT energy (no corrections) = -2.192 eV/atom
Energy of formation = 0.071 eV/atom



- Which value of total DFT energy (no corrections) does entry 5 give?
  -7.953 eV/atom